Record 1
A geometry-optimized Li4AcZn4 structure, computed with PBE.

## Properties
- Formation energy: -2.44 kcal/mol of atoms

Cell lengths 6.2956, 6.2956, 8.9849 Å; angles 90.00, 90.00, 90.00 degrees
Fractional positions:
1 Li 0.0079 0.2500 0.1419
2 Li 0.2500 0.0079 0.6419
3 Li 0.2500 0.4921 0.6419
4 Li 0.4921 0.2500 0.1419
5 Li 0.5079 0.7500 0.8581
6 Li 0.7500 0.5079 0.3581
7 Li 0.7500 0.9921 0.3581
8 Li 0.9921 0.7500 0.8581
9 Ac 0.2500 0.7500 0.2500
10 Ac 0.7500 0.2500 0.7500
11 Zn 0.0529 0.2500 0.4355
12 Zn 0.2500 0.0529 0.9355
13 Zn 0.2500 0.4471 0.9355
14 Zn 0.4471 0.2500 0.4355
15 Zn 0.5529 0.7500 0.5645
16 Zn 0.7500 0.5529 0.0645
17 Zn 0.7500 0.9471 0.0645
18 Zn 0.9471 0.7500 0.5645

Record 2
A geometry-optimized K2ErZn2Te4 structure, computed with PBE.

## Properties
- ΔE_f (raw): -0.8444 eV/atom

Cell lengths 8.4299, 8.4299, 8.3099 Å; angles 108.76, 108.76, 32.36 degrees
Fractional positions:
1 K 0.1312 0.1312 0.0678
2 K 0.8688 0.8688 0.9322
3 Er 0.0000 0.0000 0.5000
4 Zn 0.3263 0.3263 0.5020
5 Zn 0.6737 0.6737 0.4980
6 Te 0.2029 0.2029 0.6764
7 Te 0.4893 0.4893 0.7412
8 Te 0.5107 0.5107 0.2588
9 Te 0.7971 0.7971 0.3236

Number 1: Fermi-level density of states 7.468 states/eV/cell, magnetic moment 0.00 μB per formula unit. Number 2: Fermi-level density of states 2.875 states/eV/cell, magnetic moment 0.00 μB per formula unit.